Entry from Alexandria: a crystal of CdAgIr relaxed with PBEsol (meta-GGA SCAN). Values from VASP.

```
&SYSTEM
  ibrav = 0, nat = 3, ntyp = 3
/
ATOMIC_SPECIES
Cd 112.41 Cd.upf
Ag 107.87 Ag.upf
Ir 192.22 Ir.upf
CELL_PARAMETERS angstrom
0.000 3.093 3.093
3.093 0.000 3.093
3.093 3.093 0.000
ATOMIC_POSITIONS angstrom
Cd 0.000 0.000 0.000
Ag 3.093 3.093 3.093
Ir 4.639 4.639 4.639
```

* offset from the most stable computed form: 355 meV per atom
* energy relative to the elements: 0.691 eV/atom
* energy: -130.81 eV/cell


Entry from Alexandria: a crystal of CaZn relaxed with PBEsol (meta-GGA SCAN). Values from VASP.

```
&SYSTEM
  ibrav = 0, nat = 4, ntyp = 2
/
ATOMIC_SPECIES
Ca 40.08 Ca.upf
Zn 65.41 Zn.upf
CELL_PARAMETERS angstrom
2.169 1.252 6.790
-2.169 1.252 6.790
0.000 -2.505 6.790
ATOMIC_POSITIONS angstrom
Ca 0.000 0.000 1.830
Ca 0.000 0.000 18.539
Zn 0.000 0.000 6.780
Zn 0.000 0.000 13.589
```

* energy relative to the elements: -0.263 eV/atom
* energy: -47.41 eV/cell


Entry from Alexandria: a crystal of Cu2SeBr relaxed with PBEsol (meta-GGA SCAN). Values from VASP.

```
&SYSTEM
  ibrav = 0, nat = 4, ntyp = 3
/
ATOMIC_SPECIES
Cu 63.55 Cu.upf
Se 78.96 Se.upf
Br 79.90 Br.upf
CELL_PARAMETERS angstrom
3.705 0.000 0.000
0.000 3.705 0.000
0.000 0.000 5.972
ATOMIC_POSITIONS angstrom
Cu 0.000 1.853 0.000
Cu 1.853 0.000 0.000
Se 0.000 0.000 1.472
Br 1.853 1.853 4.217
```

* E_form (uncorrected): -0.2084 eV/atom
* offset from the most stable computed form: 10 meV per atom
* energy: -70.77 eV/cell


Entry from Alexandria: a crystal of KBe3Ru relaxed with PBEsol (meta-GGA SCAN). Values from VASP.

```
&SYSTEM
  ibrav = 0, nat = 5, ntyp = 3
/
ATOMIC_SPECIES
K 39.10 K.upf
Be 9.01 Be.upf
Ru 101.07 Ru.upf
CELL_PARAMETERS angstrom
4.127 0.000 0.000
0.000 4.127 0.000
0.000 0.000 4.127
ATOMIC_POSITIONS angstrom
K 0.000 0.000 0.000
Be 0.000 0.000 2.063
Be 0.000 2.063 0.000
Be 2.063 0.000 0.000
Ru 2.063 2.063 2.063
```

* energy relative to the elements: 2.753 eV/atom
* energy: -42.45 eV/cell